Compound: Cu2OsRh
Source: Alexandria via LeMat-Bulk
Functional: PBE
Structure: relaxed

Unit cell a=3.774 b=2.688 c=5.919 alpha=63.03 beta=90.00 gamma=90.00
Element x y z (fractional)
Cu: 0.500 0.263 0.237
Cu: 0.000 0.985 0.016
Os: 0.000 0.486 0.514
Rh: 0.500 0.766 0.734

SG: Pmm2 (25)
Calculated total energy, eV/cell: -26.113
DOS(E_F), states/eV per cell: 2.49
Magnetization, μB/cell: 0.00

=====

Compound: CuOsRh3
Source: Alexandria via LeMat-Bulk
Functional: PBE
Structure: relaxed

Unit cell a=2.706 b=6.981 c=8.539 alpha=90.00 beta=90.00 gamma=101.17
Element x y z (fractional)
Os: 0.764 0.529 0.250
Os: 0.236 0.471 0.750
Rh: 0.661 0.323 0.519
Rh: 0.895 0.791 0.750
Rh: 0.339 0.677 0.019
Rh: 0.339 0.677 0.481
Rh: 0.661 0.323 0.981
Rh: 0.105 0.209 0.250
Cu: 0.000 0.000 0.000
Cu: 0.000 0.000 0.500

SG: Cmcm (63)
Calculated total energy, eV/cell: -71.395
DOS(E_F), states/eV per cell: 10.69
Magnetization, μB/cell: 0.00

=====

Compound: CuOs2Rh
Source: Alexandria via LeMat-Bulk
Functional: PBE
Structure: relaxed

Unit cell a=4.667 b=4.667 c=4.686 alpha=80.89 beta=80.89 gamma=33.50
Element x y z (fractional)
Rh: 0.504 0.504 0.516
Os: 0.996 0.996 0.015
Os: 0.249 0.249 0.229
Cu: 0.751 0.751 0.740

SG: Cm (8)
Calculated total energy, eV/cell: -33.043
DOS(E_F), states/eV per cell: 4.52
Magnetization, μB/cell: 0.00

=====

Compound: CuOsRh4
Source: Alexandria via LeMat-Bulk
Functional: PBE
Structure: relaxed

Unit cell a=5.039 b=5.039 c=5.039 alpha=60.00 beta=60.00 gamma=60.00
Each line ends with the local moment (μB).
Element x y z (fractional)
Rh: 0.375 0.375 0.375  0.12
Rh: 0.375 0.874 0.375  0.12
Rh: 0.375 0.375 0.874  0.12
Rh: 0.874 0.375 0.375  0.12
Cu: 0.750 0.750 0.750  0.04
Os: 0.000 0.000 0.000  0.91

SG: F-43m (216)
Calculated total energy, eV/cell: -41.069
DOS(E_F), states/eV per cell: 8.78
Magnetization, μB/cell: 1.46

=====

Compound: CuOs2Rh
Source: Alexandria via LeMat-Bulk
Functional: PBE
Structure: relaxed

Unit cell a=4.670 b=4.670 c=4.670 alpha=131.98 beta=131.98 gamma=70.25
Element x y z (fractional)
Os: 0.250 0.750 0.500
Os: 0.000 0.000 0.000
Rh: 0.500 0.500 0.000
Cu: 0.750 0.250 0.500

SG: I-4m2 (119)
Calculated total energy, eV/cell: -32.819
DOS(E_F), states/eV per cell: 4.88
Magnetization, μB/cell: 0.00

=====

Compound: Cu2OsRh
Source: Alexandria via LeMat-Bulk
Functional: PBE
Structure: relaxed

Unit cell a=4.205 b=4.205 c=4.205 alpha=60.00 beta=60.00 gamma=60.00
Each line ends with the local moment (μB).
Element x y z (fractional)
Cu: 0.250 0.250 0.250  0.11
Cu: 0.750 0.750 0.750  0.11
Rh: 0.000 0.000 0.000  0.29
Os: 0.500 0.500 0.500  0.71

SG: Fm-3m (225)
Calculated total energy, eV/cell: -25.057
DOS(E_F), states/eV per cell: 7.73
Magnetization, μB/cell: 1.19